Density functional theory data (GGA-PBE) for a relaxed structure of LaSmEuTh.

Calculated values
Size of the total moment in μB per cell: 25.72
Energy of formation in meV per atom: 228
E in eV/atom: -6.61

```
data_LaSmEuTh
_chemical_formula_sum 'La4 Sm4 Eu4 Th4'
_symmetry_space_group_name_H-M 'F -4 3 m'
_symmetry_Int_Tables_number 216
_symmetry_space_group_name_Hall 'F -4 2 3'
_cell_length_a 8.283
_cell_length_b 8.283
_cell_length_c 8.283
_cell_angle_alpha 90.00
_cell_angle_beta 90.00
_cell_angle_gamma 90.00
loop_
_atom_site_label
_atom_site_fract_x
_atom_site_fract_y
_atom_site_fract_z
_atom_site_occupancy
La1 0.000 0.000 0.000 1
Sm1 0.000 0.000 0.500 1
Eu1 0.250 0.250 0.750 1
Th1 0.250 0.250 0.250 1
```

Density functional theory data (GGA-PBE) for a relaxed structure of LaSmEuTm.

Calculated values
Size of the total moment in μB per cell: 30.77
Energy of formation in meV per atom: 128
E in eV/atom: -5.97

```
data_LaSmEuTm
_chemical_formula_sum 'La4 Sm4 Eu4 Tm4'
_symmetry_space_group_name_H-M 'F -4 3 m'
_symmetry_Int_Tables_number 216
_symmetry_space_group_name_Hall 'F -4 2 3'
_cell_length_a 8.265
_cell_length_b 8.265
_cell_length_c 8.265
_cell_angle_alpha 90.00
_cell_angle_beta 90.00
_cell_angle_gamma 90.00
loop_
_atom_site_label
_atom_site_fract_x
_atom_site_fract_y
_atom_site_fract_z
_atom_site_occupancy
La1 0.000 0.000 0.000 1
Sm1 0.000 0.000 0.500 1
Eu1 0.250 0.250 0.250 1
Tm1 0.250 0.250 0.750 1
```

Density functional theory data (GGA-PBE) for a relaxed structure of LaEuSn.

Calculated values
Size of the total moment in μB per cell: 16.22
Energy of formation in meV per atom: -500
E in eV/atom: -6.90
Energy relative to the lowest polymorph listed for this composition in meV/atom: 0.0

```
data_LaEuSn
_chemical_formula_sum 'La2 Eu2 Sn2'
_symmetry_space_group_name_H-M 'I 4 m m'
_symmetry_Int_Tables_number 107
_symmetry_space_group_name_Hall 'I 4 -2'
_cell_length_a 4.313
_cell_length_b 4.313
_cell_length_c 10.151
_cell_angle_alpha 90.00
_cell_angle_beta 90.00
_cell_angle_gamma 90.00
loop_
_atom_site_label
_atom_site_fract_x
_atom_site_fract_y
_atom_site_fract_z
_atom_site_occupancy
La1 0.000 0.000 0.000 1
Eu1 0.000 0.000 0.306 1
Sn1 0.000 0.000 0.651 1
```

Density functional theory data (GGA-PBE) for a relaxed structure of LaEuSn2.

Calculated values
Size of the total moment in μB per cell: 6.94
Energy of formation in meV per atom: -702
E in eV/atom: -6.50
Energy relative to the lowest polymorph listed for this composition in meV/atom: 0.0

```
data_LaEuSn2
_chemical_formula_sum 'La1 Eu1 Sn2'
_symmetry_space_group_name_H-M 'P 4/m m m'
_symmetry_Int_Tables_number 123
_symmetry_space_group_name_Hall '-P 4 2'
_cell_length_a 3.603
_cell_length_b 3.603
_cell_length_c 9.192
_cell_angle_alpha 90.00
_cell_angle_beta 90.00
_cell_angle_gamma 90.00
loop_
_atom_site_label
_atom_site_fract_x
_atom_site_fract_y
_atom_site_fract_z
_atom_site_occupancy
La1 0.000 0.000 0.000 1
Eu1 0.000 0.000 0.500 1
Sn1 0.500 0.500 0.251 1
```

Density functional theory data (GGA-PBE) for a relaxed structure of LaEu2Sn.

Calculated values
Size of the total moment in μB per cell: 15.25
Energy of formation in meV per atom: -282
E in eV/atom: -7.65
Energy relative to the lowest polymorph listed for this composition in meV/atom: 147.6

```
data_LaEu2Sn
_chemical_formula_sum 'La1 Eu2 Sn1'
_symmetry_space_group_name_H-M 'P 4/m m m'
_symmetry_Int_Tables_number 123
_symmetry_space_group_name_Hall '-P 4 2'
_cell_length_a 4.263
_cell_length_b 4.263
_cell_length_c 7.385
_cell_angle_alpha 90.00
_cell_angle_beta 90.00
_cell_angle_gamma 90.00
loop_
_atom_site_label
_atom_site_fract_x
_atom_site_fract_y
_atom_site_fract_z
_atom_site_occupancy
La1 0.000 0.000 0.000 1
Eu1 0.500 0.500 0.284 1
Sn1 0.000 0.000 0.500 1
```

Density functional theory data (GGA-PBE) for a relaxed structure of LaEu2Sn.

Calculated values
Size of the total moment in μB per cell: 14.89
Energy of formation in meV per atom: -430
E in eV/atom: -7.80
Energy relative to the lowest polymorph listed for this composition in meV/atom: 0.0

```
data_LaEu2Sn
_chemical_formula_sum 'La1 Eu2 Sn1'
_symmetry_space_group_name_H-M 'P 4/m m m'
_symmetry_Int_Tables_number 123
_symmetry_space_group_name_Hall '-P 4 2'
_cell_length_a 5.006
_cell_length_b 5.006
_cell_length_c 5.185
_cell_angle_alpha 90.00
_cell_angle_beta 90.00
_cell_angle_gamma 90.00
loop_
_atom_site_label
_atom_site_fract_x
_atom_site_fract_y
_atom_site_fract_z
_atom_site_occupancy
La1 0.000 0.000 0.000 1
Eu1 0.000 0.500 0.500 1
Sn1 0.500 0.500 0.000 1
```

Q: The lowest E belongs to which entry?
A: number 6